# PBE CuPd2PtO8, optimized geometry
data_CuPd2PtO8
_chemical_formula_sum 'Cu1 Pd2 Pt1 O8'
_symmetry_space_group_name_H-M 'P 1'
_symmetry_Int_Tables_number 1
_cell_length_a 5.6760
_cell_length_b 5.6760
_cell_length_c 5.6760
_cell_angle_alpha 112.61
_cell_angle_beta 112.61
_cell_angle_gamma 103.36
loop_
_symmetry_equiv_pos_as_xyz
'x,y,z'
loop_
_atom_site_label
_atom_site_type_symbol
_atom_site_fract_x
_atom_site_fract_y
_atom_site_fract_z
_atom_site_occupancy
Pt1 Pt 0.0000 0.0000 0.0000 1
Pd1 Pd 0.5000 0.5000 0.0000 1
Pd2 Pd 0.7500 0.2500 0.5000 1
O1 O 0.5447 0.7245 0.8202 1
O2 O 0.3417 0.0244 0.3173 1
O3 O 0.2755 0.4553 0.1798 1
O4 O 0.9756 0.2929 0.3173 1
O5 O 0.9043 0.7245 0.1798 1
O6 O 0.9756 0.6583 0.6827 1
O7 O 0.7071 0.0244 0.6827 1
O8 O 0.2755 0.0957 0.8202 1
Cu1 Cu 0.2500 0.7500 0.5000 1
# ΔE_f (raw): 1.4 eV/f.u.